Crystalline MgUPt at its relaxed geometry, computed with GGA-PBE.

a = 4.6454 Å, b = 4.6454 Å, c = 4.6454 Å
α = 60.00°, β = 60.00°, γ = 60.00°
With the nearest neighbours (Å) after each atom.
Atoms (fractional coordinates):
1 Pt 0.0000 0.0000 0.0000  4 Mg 2.84, 4 U 2.84
2 Mg 0.2500 0.2500 0.2500  4 Pt 2.84
3 U 0.7500 0.7500 0.7500  4 Pt 2.84

Computed properties:
The space group is F-43m, No. 216.

Crystalline MgUPt6 at its relaxed geometry, computed with GGA-PBE.

a = 4.7207 Å, b = 5.7374 Å, c = 5.7374 Å
α = 60.00°, β = 90.00°, γ = 90.00°
With the nearest neighbours (Å) after each atom.
Atoms (fractional coordinates):
1 U 0.0000 0.9167 0.9167  12 Pt 2.87-2.89
2 Pt 0.5000 0.5808 0.0847  8 Pt 2.85-2.89, 2 Mg 2.87, 2 U 2.89
3 Pt 0.0000 0.4156 0.9189  8 Pt 2.85-2.89, 2 U 2.87, 2 Mg 2.89
4 Pt 0.0000 0.4156 0.4156  8 Pt 2.85-2.89, 2 U 2.87, 2 Mg 2.89
5 Pt 0.0000 0.9189 0.4156  8 Pt 2.85-2.89, 2 U 2.87, 2 Mg 2.89
6 Mg 0.5000 0.5833 0.5833  12 Pt 2.87-2.89
7 Pt 0.5000 0.0847 0.0847  8 Pt 2.85-2.89, 2 Mg 2.87, 2 U 2.89
8 Pt 0.5000 0.0847 0.5808  8 Pt 2.85-2.89, 2 Mg 2.87, 2 U 2.89

Computed properties:
The space group is P-6m2, No. 187.

Crystalline MgUPt at its relaxed geometry, computed with GGA-PBE.

a = 4.7433 Å, b = 4.7433 Å, c = 4.7433 Å
α = 60.00°, β = 60.00°, γ = 60.00°
With the nearest neighbours (Å) after each atom.
Atoms (fractional coordinates):
1 U 0.0000 0.0000 0.0000  4 Pt 2.90, 4 Mg 2.90
2 Mg 0.2500 0.2500 0.2500  4 U 2.90
3 Pt 0.7500 0.7500 0.7500  4 U 2.90

Computed properties:
The space group is F-43m, No. 216.

Crystalline YMg2Pt at its relaxed geometry, computed with GGA-PBE.

a = 4.8737 Å, b = 4.8737 Å, c = 4.8737 Å
α = 60.00°, β = 60.00°, γ = 60.00°
With the nearest neighbours (Å) after each atom.
Atoms (fractional coordinates):
1 Mg 0.0000 0.0000 0.0000  4 Mg 2.98, 4 Pt 2.98
2 Mg 0.2500 0.2500 0.2500  4 Mg 2.98, 4 Y 2.98
3 Pt 0.7500 0.7500 0.7500  4 Mg 2.98, 4 Y 2.98
4 Y 0.5000 0.5000 0.5000  4 Mg 2.98, 4 Pt 2.98

Computed properties:
The space group is F-43m, No. 216.

| no. | M_tot (μB per formula unit) | electronic total energy (eV/atom) |
| --- | --- | --- |
| 1 | 2.8 | -6.501 |
| 2 | 0.1 | -6.828 |
| 3 | 3.3 | -5.782 |
| 4 | 0.0 | -4.471 |